No. 1
3
Lattice="3.701 0.000 0.000 -1.851 3.205 0.000 0.000 0.000 5.418" Properties=species:S:1:pos:R:3 comment="YTmH (PBE, optimized geometry)" polymorph_energy_kj_per_mol_fu=0.0 crystal_system=hexagonal pbc="T T T"
Y 0.000 0.000 0.000
Tm 0.000 2.137 2.709
H 0.000 0.000 2.709

***

No. 2
5
Lattice="3.815 0.000 0.000 0.000 3.815 0.000 0.000 0.000 5.429" Properties=species:S:1:pos:R:3 comment="AlRhSeN2 (PBE, optimized geometry)" polymorph_energy_kj_per_mol_fu=10.5 formation_energy_uncorrected_ev_per_fu=4.5 crystal_system=tetragonal pbc="T T T"
Al 0.000 0.000 0.000
Rh 1.908 1.908 2.714
Se 1.908 1.908 0.000
N 0.000 1.908 2.714
N 1.908 0.000 2.714

***

No. 3
10
Lattice="2.780 -6.420 0.000 2.780 6.420 0.000 -2.278 0.000 3.728" Properties=species:S:1:pos:R:3 comment="V2Cr2Re (PBE, optimized geometry)" polymorph_energy_kj_per_mol_fu=136.4 crystal_system=monoclinic delta_e_f_mev_per_atom=121 pbc="T T T"
V 1.071 4.545 2.796
V 2.210 3.193 0.932
V 1.071 -3.193 2.796
V 2.210 -4.545 0.932
Cr -0.943 0.621 3.702
Cr 0.196 -0.621 1.838
Cr 3.086 0.621 1.890
Cr 4.225 -0.621 0.026
Re 1.071 1.826 2.796
Re 2.210 -1.826 0.932

***

No. 4
20
Lattice="7.955 0.000 0.000 0.000 8.749 0.000 -7.905 0.000 11.990" Properties=species:S:1:pos:R:3 comment="Ba6Au3S (PBE, optimized geometry)" formation_energy_uncorrected_ev_per_fu=-8.2 crystal_system=monoclinic pbc="T T T"
Ba -1.199 0.420 2.938
Ba -5.152 3.955 8.933
Ba 1.322 5.988 0.883
Ba -2.630 7.135 6.878
Ba 2.553 1.557 0.913
Ba -1.400 2.818 6.908
Ba 1.450 5.931 5.082
Ba -2.502 7.192 11.077
Ba 2.681 1.614 5.112
Ba -1.272 2.761 11.107
Ba 5.202 4.794 3.057
Ba 1.250 8.329 9.052
Au -3.514 0.960 9.043
Au 0.438 3.414 3.048
Au 0.025 0.000 5.995
Au 3.978 4.374 0.000
Au -0.388 5.335 8.942
Au 3.565 7.789 2.947
S 0.000 0.000 0.000
S -3.952 4.374 5.995